# LiNdHfTc, optimized geometry, DFT PBE
# Fermi-level density of states = 2.1 states/eV/f.u.
# Raw total energy = -6.74 eV/atom
# E_form = 0.010 eV/atom
data_LiNdHfTc
_space_group_name_H-M_alt 'F -4 3 m'
_space_group_IT_number 216
_space_group_name_Hall 'F -4 2 3'
_cell_length_a 6.851
_cell_length_b 6.851
_cell_length_c 6.851
_cell_angle_alpha 90.00
_cell_angle_beta 90.00
_cell_angle_gamma 90.00
loop_
_atom_site_label
_atom_site_fract_x
_atom_site_fract_y
_atom_site_fract_z
Li1 0.000 0.000 0.000
Nd1 0.250 0.250 0.750
Hf1 0.250 0.250 0.250
Tc1 0.000 0.000 0.500